# PmVHgO5 (GGA+U, relaxed)
# Energy = -212.885 eV for the cell shown
# Volume = 18.47 Å³/atom
# DOS at the Fermi energy = 0.0000 states/eV/atom
data_PmVHgO5
_chemical_formula_sum 'Pm4 V4 Hg4 O20'
_cell_length_a 8.572
_cell_length_b 9.102
_cell_length_c 8.637
_cell_angle_alpha 90.00
_cell_angle_beta 118.70
_cell_angle_gamma 90.00
_symmetry_space_group_name_H-M 'C 1 2/c 1'
_symmetry_Int_Tables_number 15
loop_
_symmetry_equiv_pos_as_xyz
'x,y,z'
'-x,-y,-z'
'-x,y,-z+1/2'
'x,-y,z+1/2'
'x+1/2,y+1/2,z'
'-x+1/2,-y+1/2,-z'
'-x+1/2,y+1/2,-z+1/2'
'x+1/2,-y+1/2,z+1/2'
loop_
_atom_site_label
_atom_site_type_symbol
_atom_site_fract_x
_atom_site_fract_y
_atom_site_fract_z
_atom_site_occupancy
Pm1 Pm 0.000 0.000 0.000 1
V1 V 0.000 0.354 0.250 1
Hg1 Hg 0.000 0.321 0.750 1
O1 O 0.000 0.096 0.750 1
O2 O 0.024 0.244 0.101 1
O3 O 0.186 0.474 0.359 1